Entry 1:
The following is a DFT calculation (GGA-PBE) of an optimized crystal structure of MgIn2As.

Unit cell a=4.1469 b=4.1469 c=11.0671 alpha=90.00 beta=90.00 gamma=90.00
Positions (direct):
Mg: 0.0000 0.0000 0.0000
Mg: 0.5000 0.5000 0.5000
In: 0.0000 0.5000 0.2500
In: 0.0000 0.5000 0.7500
In: 0.5000 0.0000 0.2500
In: 0.5000 0.0000 0.7500
As: 0.0000 0.0000 0.5000
As: 0.5000 0.5000 0.0000

The calculation puts the energy above the most stable polymorph in this dataset at 102 meV/atom. The value obtained for the energy of formation from the pure elements is -29 meV/atom. The value obtained for the total energy is -2.96 eV per atom. The calculated volume comes out at 23.79 A^3/atom.

---

Entry 2:
The following is a DFT calculation (GGA-PBE) of an optimized crystal structure of MgIn2As.

Unit cell a=3.5627 b=3.9293 c=6.9405 alpha=90.00 beta=90.00 gamma=90.00
Positions (direct):
Mg: 0.0000 0.0000 0.0000
In: 0.0000 0.0000 0.4377
In: 0.5000 0.5000 0.7076
As: 0.5000 0.5000 0.1206

The calculation puts the energy above the most stable polymorph in this dataset at 57 meV/atom. The value obtained for the energy of formation from the pure elements is -74 meV/atom. The value obtained for the total energy is -3.00 eV per atom. The calculated volume comes out at 24.29 A^3/atom.

---

Entry 3:
The following is a DFT calculation (GGA-PBE) of an optimized crystal structure of MgIn2As.

Unit cell a=3.2474 b=3.2474 c=30.7329 alpha=90.00 beta=90.00 gamma=120.00
Positions (direct):
Mg: 0.0000 0.0000 0.0000
Mg: 0.3333 0.6667 0.6667
Mg: 0.6667 0.3333 0.3333
In: 0.0000 0.0000 0.2501
In: 0.0000 0.0000 0.7499
In: 0.3333 0.6667 0.4165
In: 0.3333 0.6667 0.9168
In: 0.6667 0.3333 0.0832
In: 0.6667 0.3333 0.5835
As: 0.0000 0.0000 0.5000
As: 0.3333 0.6667 0.1667
As: 0.6667 0.3333 0.8333

The calculation puts the energy above the most stable polymorph in this dataset at 251 meV/atom. The value obtained for the energy of formation from the pure elements is 120 meV/atom. The value obtained for the total energy is -2.81 eV per atom. The calculated volume comes out at 23.39 A^3/atom.

---

Entry 4:
The following is a DFT calculation (GGA-PBE) of an optimized crystal structure of MgInAs2.

Unit cell a=3.6863 b=3.6863 c=6.7296 alpha=90.00 beta=90.00 gamma=90.00
Positions (direct):
Mg: 0.0000 0.0000 0.0000
In: 0.0000 0.0000 0.5000
As: 0.5000 0.5000 0.1854
As: 0.5000 0.5000 0.8146

The value obtained for the energy of formation from the pure elements is -111 meV/atom. The value obtained for the total energy is -3.52 eV per atom. The calculated volume comes out at 22.86 A^3/atom.

---

Entry 5:
The following is a DFT calculation (GGA-PBE) of an optimized crystal structure of Mg4InAs.

Unit cell a=5.7798 b=5.7798 c=5.7798 alpha=60.00 beta=60.00 gamma=60.00
Positions (direct):
Mg: 0.1246 0.1246 0.1246
Mg: 0.1246 0.1246 0.6261
Mg: 0.1246 0.6261 0.1246
Mg: 0.6261 0.1246 0.1246
In: 0.5000 0.5000 0.5000
As: 0.7500 0.7500 0.7500

The value obtained for the energy of formation from the pure elements is 87 meV/atom. The value obtained for the total energy is -2.21 eV per atom. The calculated volume comes out at 22.75 A^3/atom.

---

Entry 6:
The following is a DFT calculation (GGA-PBE) of an optimized crystal structure of Mg2InAs2.

Unit cell a=8.1580 b=8.1580 c=3.1835 alpha=90.00 beta=90.00 gamma=90.00
Positions (direct):
Mg: 0.1392 0.3608 0.0000
Mg: 0.3608 0.8608 0.0000
Mg: 0.6392 0.1392 0.0000
Mg: 0.8608 0.6392 0.0000
In: 0.0000 0.0000 0.5000
In: 0.5000 0.5000 0.5000
As: 0.1586 0.6586 0.5000
As: 0.3414 0.1586 0.5000
As: 0.6586 0.8414 0.5000
As: 0.8414 0.3414 0.5000

The value obtained for the energy of formation from the pure elements is -272 meV/atom. The value obtained for the total energy is -3.32 eV per atom. The calculated volume comes out at 21.19 A^3/atom.

---

Entry 7:
The following is a DFT calculation (GGA-PBE) of an optimized crystal structure of MgInAs.

Unit cell a=5.0190 b=5.0190 c=3.0588 alpha=90.00 beta=90.00 gamma=120.00
Positions (direct):
Mg: 0.0000 0.0000 0.0000
In: 0.3333 0.6667 0.5021
As: 0.6667 0.3333 0.5043

The calculation puts the energy above the most stable polymorph in this dataset at 303 meV/atom. The value obtained for the energy of formation from the pure elements is -5 meV/atom. The value obtained for the total energy is -3.00 eV per atom. The calculated volume comes out at 22.24 A^3/atom.

---

Entry 8:
The following is a DFT calculation (GGA-PBE) of an optimized crystal structure of MgInAs2.

Unit cell a=7.3121 b=4.2173 c=7.7872 alpha=90.00 beta=108.13 gamma=90.00
Positions (direct):
Mg: 0.0000 0.0000 0.0000
Mg: 0.5000 0.5000 0.0000
In: 0.0021 0.5000 0.5070
In: 0.5021 0.0000 0.5070
As: 0.1196 0.0000 0.3575
As: 0.1206 0.5000 0.8603
As: 0.6196 0.5000 0.3575
As: 0.6206 0.0000 0.8603

The value obtained for the energy of formation from the pure elements is -166 meV/atom. The value obtained for the total energy is -3.57 eV per atom. The calculated volume comes out at 28.53 A^3/atom.